Entry 1:
A geometry-optimized Ce2MgF8 structure. Source: Alexandria, functional PBE.

Calculated values
The value obtained for the total energy is -0.4681 Ry per atom. The calculation puts the magnetization at 0.01 μB per cell. Its polymorph energy (0 for the lowest one) is 62 meV per atom. The calculation puts the raw formation energy at -3.784 eV/atom. The density of states at the Fermi level comes out at 10.2 states/eV per cell. For the density, the calculation gives 3.74 Mg/m³.

a b c (Å): 4.208 7.020 7.218
angles (deg): 93.87 89.87 107.40
Site moments in Bohr magnetons follow the coordinates.
Positions (direct):
F  0.569  0.150  0.822  0.00
F  0.416  0.851  0.180  0.00
F  0.949  0.813  0.847  0.00
F  0.135  0.188  0.153  0.00
F  0.219  0.397  0.558  0.00
F  0.766  0.476  0.097  0.00
F  0.291  0.526  0.902  0.00
F  0.820  0.600  0.442  0.00
Ce  0.288  0.523  0.252  -0.97
Ce  0.766  0.477  0.748  0.96
Mg  0.281  0.000  0.000  0.00

Entry 2:
A geometry-optimized La2TbPr4Sm structure. Source: Alexandria, functional PBE.

Calculated values
As for the energy relative to the elements: 0.141 eV per formula unit. The value obtained for the total energy is -0.3508 Ry per atom. The calculation puts the magnetization at 0.00 μB per cell. The density of states at the Fermi level comes out at 13.7 states/eV per cell. For the density, the calculation gives 6.70 Mg/m³.

a b c (Å): 5.225 5.209 11.717
angles (deg): 63.45 90.00 90.00
Positions (direct):
Sm  0.500  0.500  0.000
Pr  0.000  0.248  0.251
Pr  0.500  0.749  0.251
Pr  0.000  0.752  0.749
Pr  0.500  0.251  0.749
Tb  0.000  0.500  0.500
La  0.000  0.000  0.000
La  0.500  0.000  0.500

Entry 3:
A geometry-optimized PmHoCd4 structure. Source: Alexandria, functional PBE.

Calculated values
As for the energy relative to the elements: -1.595 eV per formula unit. The value obtained for the total energy is -0.1786 Ry per atom. The calculation puts the magnetization at 0.00 μB per cell. Its polymorph energy (0 for the lowest one) is 59 meV per atom. The density of states at the Fermi level comes out at 4.3 states/eV per cell. For the density, the calculation gives 8.52 Mg/m³.

a b c (Å): 5.938 5.938 5.938
angles (deg): 60.00 60.00 60.00
Positions (direct):
Ho  0.000  0.000  0.000
Cd  0.625  0.625  0.125
Cd  0.625  0.125  0.625
Cd  0.625  0.625  0.625
Cd  0.125  0.625  0.625
Pm  0.250  0.250  0.250

Entry 4:
A geometry-optimized MgAg2Cl structure. Source: Alexandria, functional PBE.

Calculated values
The value obtained for the total energy is -0.1979 Ry per atom. The calculation puts the magnetization at 0.00 μB per cell. Its polymorph energy (0 for the lowest one) is 0 meV per atom. The calculation puts the raw formation energy at -0.407 eV/atom. The density of states at the Fermi level comes out at 0.9 states/eV per cell. For the density, the calculation gives 5.09 Mg/m³.

a b c (Å): 3.337 3.659 7.359
angles (deg): 89.71 90.00 90.00
Positions (direct):
Cl  0.000  0.505  0.542
Mg  0.500  0.500  0.782
Ag  0.000  0.998  0.994
Ag  0.500  0.496  0.182

Q: Which formula does entry 3 have?
A: PmHoCd4

Repeat the fourth record exactly.
A geometry-optimized MgAg2Cl structure. Source: Alexandria, functional PBE.

Calculated values
The value obtained for the total energy is -0.1979 Ry per atom. The calculation puts the magnetization at 0.00 μB per cell. Its polymorph energy (0 for the lowest one) is 0 meV per atom. The calculation puts the raw formation energy at -0.407 eV/atom. The density of states at the Fermi level comes out at 0.9 states/eV per cell. For the density, the calculation gives 5.09 Mg/m³.

a b c (Å): 3.337 3.659 7.359
angles (deg): 89.71 90.00 90.00
Positions (direct):
Cl  0.000  0.505  0.542
Mg  0.500  0.500  0.782
Ag  0.000  0.998  0.994
Ag  0.500  0.496  0.182